Entry 1:
# Ca2Zn12InCu3 PBE optimized geometry
data_Ca2Zn12InCu3
_chemical_formula_sum 'Ca6 Zn36 In3 Cu9'
_cell_length_a 8.2942
_cell_length_b 8.2942
_cell_length_c 20.8043
_cell_angle_alpha 90.00
_cell_angle_beta 90.00
_cell_angle_gamma 120.00
_symmetry_space_group_name_H-M 'R -3 m'
_symmetry_Int_Tables_number 166
_symmetry_space_group_name_Hall '-R 3 2"'
loop_
_atom_site_label
_atom_site_type_symbol
_atom_site_fract_x
_atom_site_fract_y
_atom_site_fract_z
Ca1 Ca 0.0000 0.0000 0.0953
Zn1 Zn 0.0150 0.5075 0.3418
Zn2 Zn 0.1099 0.5550 0.8885
In1 In 0.0000 0.0000 0.5000
Cu1 Cu 0.0000 0.5000 0.0000
# Formation energy from the elements = 0.2053 eV per atom
# Crystal system = trigonal
# DOS at the Fermi energy = 26.2 states/eV/cell

***

Entry 2:
# Ba4Cd2Pb PBE optimized geometry
data_Ba4Cd2Pb
_chemical_formula_sum 'Ba12 Cd6 Pb3'
_cell_length_a 6.0431
_cell_length_b 6.0431
_cell_length_c 29.4321
_cell_angle_alpha 90.00
_cell_angle_beta 90.00
_cell_angle_gamma 120.00
_symmetry_space_group_name_H-M 'R -3 m'
_symmetry_Int_Tables_number 166
_symmetry_space_group_name_Hall '-R 3 2"'
loop_
_atom_site_label
_atom_site_type_symbol
_atom_site_fract_x
_atom_site_fract_y
_atom_site_fract_z
Ba1 Ba 0.0000 0.0000 0.1234
Ba2 Ba 0.0000 0.0000 0.3757
Cd1 Cd 0.0000 0.0000 0.2497
Pb1 Pb 0.0000 0.0000 0.0000
# Formation energy from the elements = -0.3245 eV per atom
# Crystal system = trigonal
# DOS at the Fermi energy = 17.8 states/eV/cell

***

Entry 3:
# FeN2Cl2 PBE optimized geometry
data_FeN2Cl2
_chemical_formula_sum 'Fe2 N4 Cl4'
_cell_length_a 6.1953
_cell_length_b 6.1953
_cell_length_c 3.4381
_cell_angle_alpha 90.00
_cell_angle_beta 90.00
_cell_angle_gamma 90.00
_symmetry_space_group_name_H-M 'P 4/m b m'
_symmetry_Int_Tables_number 127
_symmetry_space_group_name_Hall '-P 4 2ab'
loop_
_atom_site_label
_atom_site_type_symbol
_atom_site_fract_x
_atom_site_fract_y
_atom_site_fract_z
Fe1 Fe 0.0000 0.0000 0.0000
N1 N 0.2369 0.2631 0.5000
Cl1 Cl 0.1767 0.6767 0.0000
# Crystal system = tetragonal
# DOS at the Fermi energy = 11.3 states/eV/cell
# Energy relative to the lowest polymorph listed for this composition = 2368.9 meV per atom
# Energy relative to the elements, uncorrected = 44.95 kcal/mol of atoms

***

Among the records above, which one has the highest DOS at the Fermi energy? Ca2Zn12InCu3

***

Look up the DOS at the Fermi energy of the third one. 11.3 states/eV/cell

***

Number 3 is which compound? FeN2Cl2